A relaxed structure of Li5Se, computed with GGA-PBE.

Computed properties:
ΔE_f (raw), eV per atom: -0.130
Space-group type: P6/mmm, No. 191
Total DFT energy (no corrections), Ry/atom: -0.1695

a = 5.1590 Å, b = 5.1590 Å, c = 5.1275 Å
α = 90.00°, β = 90.00°, γ = 120.00°
Atoms (fractional coordinates):
Li1 0.5000 0.0000 0.5000
Li2 0.5000 0.5000 0.5000
Li3 0.3333 0.6667 0.0000
Li4 0.0000 0.5000 0.5000
Se1 0.0000 0.0000 0.0000
Li5 0.6667 0.3333 0.0000


A relaxed structure of LiSe2, computed with GGA-PBE.

Computed properties:
ΔE_f (raw), eV per atom: -0.514
Space-group type: Immm, No. 71
Total DFT energy (no corrections), Ry/atom: -0.2554

a = 5.8228 Å, b = 5.8228 Å, c = 5.8228 Å
α = 144.12°, β = 144.26°, γ = 51.54°
Atoms (fractional coordinates):
Se1 0.6113 0.6113 0.0000
Li1 0.0000 0.0000 0.0000
Se2 0.3887 0.3887 0.0000


A relaxed structure of Li3Se2, computed with GGA-PBE.

Computed properties:
ΔE_f (raw), eV per atom: -0.949
Space-group type: R-3m, No. 166
Total DFT energy (no corrections), Ry/atom: -0.2566

a = 6.4138 Å, b = 6.4138 Å, c = 6.4138 Å
α = 39.22°, β = 39.22°, γ = 39.22°
Atoms (fractional coordinates):
Se1 0.5860 0.5860 0.5860
Li1 0.2409 0.2409 0.2409
Li2 0.7591 0.7591 0.7591
Li3 0.0000 0.0000 0.0000
Se2 0.4140 0.4140 0.4140


no.,E above lowest polymorph (eV/f.u.)
1,2.35
2,0.00
3,0.47